Entry 1:
Compound: LiPr2RuO5
Source: the Alexandria database
Functional: GGA-PBE
Structure: optimized geometry

* crystal system: tetragonal

Geometry as POSCAR:
```
LiPr2RuO5
1.0
6.8911 0.0000 0.0000
0.0000 6.8911 0.0000
0.0000 0.0000 5.7975
Li Pr Ru O
2 4 2 10
direct
0.0000 0.0000 0.0000
0.5000 0.5000 0.0000
0.1769 0.3231 0.5000
0.3231 0.8231 0.5000
0.6769 0.1769 0.5000
0.8231 0.6769 0.5000
0.0000 0.5000 0.0000
0.5000 0.0000 0.0000
0.0000 0.0000 0.5000
0.1347 0.6347 0.2468
0.1347 0.6347 0.7532
0.3653 0.1347 0.2468
0.3653 0.1347 0.7532
0.5000 0.5000 0.5000
0.6347 0.8653 0.2468
0.6347 0.8653 0.7532
0.8653 0.3653 0.2468
0.8653 0.3653 0.7532
```

---

Entry 2:
Compound: LiPrSO
Source: the Alexandria database
Functional: GGA-PBE
Structure: optimized geometry

* crystal system: tetragonal

Geometry as POSCAR:
```
LiPrSO
1.0
3.9931 0.0000 0.0000
0.0000 3.9931 0.0000
0.0000 0.0000 8.7693
Li Pr S O
2 2 2 2
direct
0.2500 0.7500 0.0000
0.7500 0.2500 0.0000
0.2500 0.2500 0.3590
0.7500 0.7500 0.6410
0.2500 0.2500 0.8366
0.7500 0.7500 0.1634
0.2500 0.7500 0.5000
0.7500 0.2500 0.5000
```

---

Entry 3:
Compound: LiPrS2O8
Source: the Alexandria database
Functional: GGA-PBE
Structure: optimized geometry

* crystal system: tetragonal

Geometry as POSCAR:
```
LiPrS2O8
1.0
7.7844 0.0000 0.0000
0.0000 7.7844 0.0000
0.0000 0.0000 6.2524
Li Pr S O
2 2 4 16
direct
0.0000 0.5000 0.2500
0.5000 0.0000 0.7500
0.0000 0.5000 0.7500
0.5000 0.0000 0.2500
0.2198 0.2802 0.2500
0.2802 0.7802 0.7500
0.7198 0.2198 0.7500
0.7802 0.7198 0.2500
0.0990 0.3289 0.4297
0.0995 0.8019 0.8180
0.1711 0.4010 0.0703
0.1981 0.0995 0.1820
0.3019 0.5995 0.6820
0.3289 0.9010 0.5703
0.4005 0.3019 0.3180
0.4010 0.8289 0.9297
0.5990 0.1711 0.9297
0.5995 0.6981 0.3180
0.6711 0.0990 0.5703
0.6981 0.4005 0.6820
0.8019 0.9005 0.1820
0.8289 0.5990 0.0703
0.9005 0.1981 0.8180
0.9010 0.6711 0.4297
```

---

Entry 4:
Compound: LiPrS2O8
Source: the Alexandria database
Functional: GGA-PBE
Structure: optimized geometry

* crystal system: monoclinic

Geometry as POSCAR:
```
LiPrS2O8
1.0
13.9143 0.0000 0.0000
0.0000 6.7759 0.0000
-1.8065 0.0000 6.8698
Li Pr S O
4 4 8 32
direct
0.0529 0.2466 0.0446
0.0529 0.2534 0.5446
0.9471 0.7466 0.4554
0.9471 0.7534 0.9554
0.3164 0.6104 0.1555
0.3164 0.8896 0.6555
0.6836 0.1104 0.3445
0.6836 0.3896 0.8445
0.1177 0.5957 0.3159
0.1177 0.9043 0.8159
0.3958 0.0705 0.1950
0.3958 0.4295 0.6950
0.6042 0.5705 0.3050
0.6042 0.9295 0.8050
0.8823 0.0957 0.1841
0.8823 0.4043 0.6841
0.0190 0.6882 0.2380
0.0190 0.8118 0.7380
0.1207 0.0135 0.9946
0.1207 0.4865 0.4946
0.1446 0.0313 0.6624
0.1446 0.4687 0.1624
0.1980 0.7471 0.8563
0.1980 0.7529 0.3563
0.3389 0.2440 0.6607
0.3389 0.2560 0.1607
0.3614 0.5562 0.8397
0.3614 0.9438 0.3397
0.3725 0.5543 0.5144
0.3725 0.9457 0.0144
0.4975 0.6089 0.2377
0.4975 0.8911 0.7377
0.5025 0.1089 0.2623
0.5025 0.3911 0.7623
0.6275 0.0543 0.9856
0.6275 0.4457 0.4856
0.6386 0.0562 0.6603
0.6386 0.4438 0.1603
0.6611 0.7440 0.8393
0.6611 0.7560 0.3393
0.8020 0.2471 0.6437
0.8020 0.2529 0.1437
0.8554 0.5313 0.8376
0.8554 0.9687 0.3376
0.8793 0.5135 0.5054
0.8793 0.9865 0.0054
0.9810 0.1882 0.2620
0.9810 0.3118 0.7620
```

---

Entry 5:
Compound: LiPrS2O8
Source: the Alexandria database
Functional: GGA-PBE
Structure: optimized geometry

* crystal system: trigonal

Geometry as POSCAR:
```
LiPrS2O8
1.0
5.1422 0.0000 0.0000
-2.5711 4.4533 0.0000
0.0000 0.0000 6.8671
Li Pr S O
1 1 2 8
direct
0.0000 0.0000 0.0000
0.0000 0.0000 0.5000
0.3333 0.6667 0.2770
0.6667 0.3333 0.7230
0.1750 0.3501 0.2108
0.1750 0.8250 0.2108
0.3333 0.6667 0.4970
0.3501 0.1750 0.7892
0.6499 0.8250 0.2108
0.6667 0.3333 0.5030
0.8250 0.1750 0.7892
0.8250 0.6499 0.7892
```

---

Entry 6:
Compound: LiPr2SbO5
Source: the Alexandria database
Functional: GGA-PBE
Structure: optimized geometry

* crystal system: tetragonal

Geometry as POSCAR:
```
LiPr2SbO5
1.0
6.8711 0.0000 0.0000
0.0000 6.8711 0.0000
0.0000 0.0000 6.3024
Li Pr Sb O
2 4 2 10
direct
0.0000 0.0000 0.0000
0.5000 0.5000 0.0000
0.1768 0.3232 0.5000
0.3232 0.8232 0.5000
0.6768 0.1768 0.5000
0.8232 0.6768 0.5000
0.0000 0.5000 0.0000
0.5000 0.0000 0.0000
0.0000 0.0000 0.5000
0.1422 0.6422 0.2571
0.1422 0.6422 0.7429
0.3578 0.1422 0.2571
0.3578 0.1422 0.7429
0.5000 0.5000 0.5000
0.6422 0.8578 0.2571
0.6422 0.8578 0.7429
0.8578 0.3578 0.2571
0.8578 0.3578 0.7429
```

---

Entry 7:
Compound: LiPr2SbO6
Source: the Alexandria database
Functional: GGA-PBE
Structure: optimized geometry

* crystal system: trigonal

Geometry as POSCAR:
```
LiPr2SbO6
1.0
2.8654 1.6543 4.5060
-2.8654 1.6543 4.5060
0.0000 -3.3087 4.5060
Li Pr Sb O
1 2 1 6
direct
0.0000 0.0000 0.0000
0.2521 0.2521 0.2521
0.7479 0.7479 0.7479
0.5000 0.5000 0.5000
0.1715 0.3444 0.7331
0.2669 0.8285 0.6556
0.3444 0.7331 0.1715
0.6556 0.2669 0.8285
0.7331 0.1715 0.3444
0.8285 0.6556 0.2669
```

---

Entry 8:
Compound: Li2PrSbO4
Source: the Alexandria database
Functional: GGA-PBE
Structure: optimized geometry

* crystal system: orthorhombic

Geometry as POSCAR:
```
Li2PrSbO4
1.0
1.7891 -7.0227 0.0000
1.7891 7.0227 0.0000
0.0000 0.0000 9.3733
Li Pr Sb O
4 2 2 8
direct
0.0789 0.9211 0.5452
0.0789 0.9211 0.9548
0.9211 0.0789 0.0452
0.9211 0.0789 0.4548
0.4556 0.5444 0.7500
0.5444 0.4556 0.2500
0.2645 0.7355 0.2500
0.7355 0.2645 0.7500
0.0658 0.9342 0.7500
0.1633 0.8367 0.1100
0.1633 0.8367 0.3900
0.5000 0.5000 0.0000
0.5000 0.5000 0.5000
0.8367 0.1633 0.6100
0.8367 0.1633 0.8900
0.9342 0.0658 0.2500
```

---

Here are the calculated spin magnetization numbers, same order: 6.0; 0.0; 0.0; 0.0; 0.0; 0.0; 0.0; 0.0 (Bohr magnetons per cell).
Here are the calculated formation energy without anion corrections numbers, same order: -209.9; -229.0; -186.6; -199.0; -195.7; -206.4; -245.4; -188.7 (kJ per mole of atoms).
Here are the calculated mass density numbers, same order: 5.668; 4.653; 2.980; 3.486; 3.590; 5.475; 6.562; 4.802 (g/cm³).